# Np2PaPdS6

A geometry-optimized Np2PaPdS6 structure (PBE-GGA, the Alexandria database).

calculated density: 6.9 g/cm3
crystal system: tetragonal
DFT total energy: -7.4134 eV/atom
density of states at the Fermi level: 21.328 states/eV/f.u.
M_tot: 0.699 μB per atom
space group: No. 99

a = 6.6916 Å, b = 6.0209 Å, c = 6.0209 Å
α = 90.00°, β = 90.00°, γ = 90.00°
With the nearest neighbours (Å) after each atom.
Element x y z (fractional)
Np 0.0111 0.5000 0.0000  4 S 2.74
Np 0.0111 0.0000 0.5000  4 S 2.74
Pa 0.5747 0.5000 0.5000  5 S 2.53-2.72
Pd 0.5056 0.0000 0.0000  1 S 2.33
S 0.7546 0.2381 0.2381  1 Pa 2.53, 1 Pd 2.62, 2 Np 2.74
S 0.7546 0.2381 0.7619  1 Pa 2.53, 1 Pd 2.62, 2 Np 2.74
S 0.1682 0.5000 0.5000  1 Pa 2.72
S 0.1577 0.0000 0.0000  1 Pd 2.33
S 0.7546 0.7619 0.7619  1 Pa 2.53, 1 Pd 2.62, 2 Np 2.74
S 0.7546 0.7619 0.2381  1 Pa 2.53, 1 Pd 2.62, 2 Np 2.74